(1)
Computed, not measured: a relaxed structure of Nb3V2Mo7 at the PBE level of DFT.

Density of states at the Fermi level ... 13.181 states/eV/f.u.
Energy of formation ... 32 kJ per mole of atoms
Mass density ... 8301 kg/m3

Cell lengths 4.3493, 21.1187, 4.5832 Å; angles 90.00, 90.00, 90.00 degrees
Space group Cmmm (No. 65)
Inequivalent atoms, fractional coordinates:
Nb: 0.0000 0.0000 0.0000 [2 per cell]
Nb: 0.0000 0.1555 0.0000 [4 per cell]
V: 0.0000 0.3544 0.5000 [4 per cell]
Mo: 0.0000 0.0765 0.5000 [4 per cell]
Mo: 0.0000 0.2187 0.5000 [4 per cell]
Mo: 0.0000 0.4239 0.0000 [4 per cell]
Mo: 0.0000 0.5000 0.5000 [2 per cell]

=====

(2)
Computed, not measured: a relaxed structure of NbV2Mo4 at the PBE level of DFT.

Density of states at the Fermi level ... 7.023 states/eV/f.u.
Energy of formation ... 12 kJ per mole of atoms
Mass density ... 8669 kg/m3

Cell lengths 3.2278, 21.8681, 3.1399 Å; angles 90.00, 90.00, 90.00 degrees
Space group Cmmm (No. 65)
Inequivalent atoms, fractional coordinates:
Nb: 0.0000 0.0000 0.0000 [2 per cell]
V: 0.0000 0.2900 0.5000 [4 per cell]
Mo: 0.0000 0.1474 0.0000 [4 per cell]
Mo: 0.0000 0.4251 0.5000 [4 per cell]

=====

(3)
Computed, not measured: a relaxed structure of NbV2Mo at the PBE level of DFT.

Density of states at the Fermi level ... 4.926 states/eV/f.u.
Energy of formation ... 54 kJ per mole of atoms
Mass density ... 7432 kg/m3

Cell lengths 6.9361, 6.9361, 5.4011 Å; angles 90.00, 90.00, 90.00 degrees
Space group I-42d (No. 122)
Inequivalent atoms, fractional coordinates:
Nb: 0.0000 0.0000 0.0000 [4 per cell]
V: 0.2357 0.7500 0.6250 [8 per cell]
Mo: 0.0000 0.0000 0.5000 [4 per cell]

=====

(4)
Computed, not measured: a relaxed structure of Nb2V7Mo2 at the PBE level of DFT.

Density of states at the Fermi level ... 11.167 states/eV/f.u.
Energy of formation ... 22 kJ per mole of atoms
Mass density ... 7228 kg/m3

Cell lengths 5.9454, 7.4849, 7.5892 Å; angles 90.00, 92.63, 90.00 degrees
Space group C2/m (No. 12)
Inequivalent atoms, fractional coordinates:
Nb: 0.0000 0.2212 0.0000 [4 per cell]
V: 0.0000 0.5000 0.5000 [2 per cell]
V: 0.1278 0.1984 0.3727 [8 per cell]
V: 0.1971 0.0000 0.7613 [4 per cell]
Mo: 0.1593 0.5000 0.8296 [4 per cell]

=====

Question: Look up the mass density of the fourth one.
Answer: 7228 kg/m3